NbCoGeO6: relaxed, GGA+U.

```
NbCoGeO6
1.0
4.691 0.000 0.000
0.000 4.691 0.000
0.000 0.000 8.820
Nb Co Ge O
2 2 2 12
direct
0.000 0.000 0.000 Nb
0.500 0.500 0.500 Nb
0.000 0.000 0.330 Co
0.500 0.500 0.830 Co
0.000 0.000 0.663 Ge
0.500 0.500 0.163 Ge
0.186 0.186 0.498 O
0.189 0.189 0.822 O
0.203 0.203 0.162 O
0.297 0.703 0.662 O
0.311 0.689 0.322 O
0.314 0.686 0.998 O
0.686 0.314 0.998 O
0.689 0.311 0.322 O
0.703 0.297 0.662 O
0.797 0.797 0.162 O
0.811 0.811 0.822 O
0.814 0.814 0.498 O
```

Calculated total energy (eV per atom): -7.2180